This record from Alexandria describes MgCu2MoBr after structural relaxation. The functional is PBE.

abc: 4.8973 4.8973 4.7546
angles: 90.00 90.00 90.00
Closest atoms and distances in Å follow each position.
Space group P4/mmm (No. 123)
Symmetry-distinct sites (fractional):
Mg (0.0000, 0.0000, 0.0000) x1  8 Cu 3.41, 4 Br 3.46
Cu (0.0000, 0.5000, 0.5000) x2  2 Mo 2.45
Mo (0.5000, 0.5000, 0.5000) x1  2 Br 2.38, 4 Cu 2.45
Br (0.5000, 0.5000, 0.0000) x1  2 Mo 2.38

Theoretical density in g cm⁻³: 4.8
Formation energy without anion corrections in eV per atom: 0.91
Calculated volume in Å³/cell: 114.0
Fermi-level density of states in states/eV/cell: 4.409

=====

This record from Alexandria describes FeIrS2 after structural relaxation. The functional is PBE.

abc: 5.9911 5.9911 5.9911
angles: 90.00 90.00 90.00
Closest atoms and distances in Å follow each position.
Space group Fm-3m (No. 225)
Symmetry-distinct sites (fractional):
Fe (0.0000, 0.0000, 0.0000) x4  8 S 2.59
Ir (0.0000, 0.0000, 0.5000) x4  8 S 2.59
S (0.2500, 0.2500, 0.2500) x8  4 Ir 2.59, 4 Fe 2.59

Theoretical density in g cm⁻³: 9.6
Formation energy without anion corrections in eV per atom: 0.28
Calculated volume in Å³/cell: 215.0
Fermi-level density of states in states/eV/cell: 7.516

=====

This record from Alexandria describes GaFeReH after structural relaxation. The functional is PBE.

abc: 2.7303 2.8366 5.8881
angles: 90.00 103.23 90.00
Closest atoms and distances in Å follow each position.
Space group Pm (No. 6)
Symmetry-distinct sites (fractional):
Ga (0.0000, 0.0000, 0.0000) x1  4 H 2.40-2.41, 4 Fe 2.59-2.60
Fe (0.3521, 0.5000, 0.7043) x1  4 Re 2.50, 4 Ga 2.59-2.60, 2 Fe 2.73
Re (0.7199, 0.0000, 0.4350) x1  2 H 1.80
H (0.6243, 0.5000, 0.2411) x1  2 Re 1.80

Theoretical density in g cm⁻³: 11.7
Calculated volume in Å³/cell: 44.4
Fermi-level density of states in states/eV/cell: 2.587
Final energy in eV/atom: -6.7799

=====

This record from Alexandria describes PmFeH6 after structural relaxation. The functional is PBE.

abc: 4.4976 4.4976 10.7996
angles: 90.00 90.00 120.00
Closest atoms and distances in Å follow each position.
Space group R-3m (No. 166, hexagonal axes)
Symmetry-distinct sites (fractional):
Pm (0.0000, 0.0000, 0.0000) x3  12 H 2.47
Fe (0.0000, 0.0000, 0.5000) x3  6 H 1.57
H (0.0155, 0.5077, 0.9062) x18  1 Fe 1.57

Theoretical density in g cm⁻³: 5.4
Calculated volume in Å³/cell: 189.2
Fermi-level density of states in states/eV/cell: 6.245
Final energy in eV/atom: -4.4050

=====

This record from Alexandria describes DyClF2 after structural relaxation. The functional is PBE.

abc: 3.8791 3.8791 14.9016
angles: 90.00 90.00 120.00
Closest atoms and distances in Å follow each position.
Space group R-3m (No. 166, hexagonal axes)
Symmetry-distinct sites (fractional):
Dy (0.0000, 0.0000, 0.0000) x3  6 F 2.30
Cl (0.0000, 0.0000, 0.5000) x3  8 F 2.98-3.01
F (0.0000, 0.0000, 0.2983) x6  3 Dy 2.30, 3 F 2.47

Theoretical density in g cm⁻³: 6.1
Formation energy without anion corrections in eV per atom: -3.30
Calculated volume in Å³/cell: 194.2
Fermi-level density of states in states/eV/cell: 0.000

=====

This record from Alexandria describes AcHoPu2Se4 after structural relaxation. The functional is PBE.

abc: 7.2304 4.1973 7.3989
angles: 90.00 109.35 90.00
Closest atoms and distances in Å follow each position.
Space group P2/m (No. 10)
Symmetry-distinct sites (fractional):
Ac (0.0000, 0.0000, 0.0000) x1  6 Se 3.07
Ho (0.0000, 0.5000, 0.5000) x1  6 Se 2.94
Pu (0.5000, 0.0000, 0.5000) x1  6 Se 2.89-2.90
Pu (0.5000, 0.5000, 0.0000) x1  6 Se 3.02-3.04
Se (0.2510, 0.0000, 0.7374) x2  3 Pu 2.90-3.02, 2 Ho 2.94, 1 Ac 3.07
Se (0.2613, 0.5000, 0.2690) x2  3 Pu 2.89-3.04, 1 Ho 2.94, 2 Ac 3.07

Theoretical density in g cm⁻³: 9.4
Formation energy without anion corrections in eV per atom: -1.64
Calculated volume in Å³/cell: 211.9
Fermi-level density of states in states/eV/cell: 19.892

=====

This record from Alexandria describes SmY2Ru2 after structural relaxation. The functional is PBE.

abc: 3.4276 20.6996 3.4081
angles: 90.00 90.00 90.00
Closest atoms and distances in Å follow each position.
Space group Cmmm (No. 65)
Symmetry-distinct sites (fractional):
Sm (0.0000, 0.0000, 0.0000) x2  8 Ru 3.04
Y (0.0000, 0.1654, 0.0000) x4  4 Ru 2.89
Ru (0.0000, 0.4110, 0.5000) x4  4 Y 2.89, 4 Sm 3.04

ΔE_f in eV per atom: -0.233
Theoretical density in g cm⁻³: 7.3
Calculated volume in Å³/cell: 241.8
Fermi-level density of states in states/eV/cell: 5.851

=====

This record from Alexandria describes PaAsI after structural relaxation. The functional is PBE.

abc: 4.0937 4.0902 13.2251
angles: 90.00 98.39 90.00
Closest atoms and distances in Å follow each position.
Space group P2_1/m (No. 11)
Symmetry-distinct sites (fractional):
Pa (0.1928, 0.2500, 0.3786) x2  1 I 2.88, 5 As 2.90-2.98
As (0.2999, 0.2500, 0.6061) x2  5 Pa 2.90-2.98
I (0.0888, 0.2500, 0.1582) x2  1 Pa 2.88

Theoretical density in g cm⁻³: 6.6
Formation energy without anion corrections in eV per atom: -0.85
Calculated volume in Å³/cell: 219.1
Fermi-level density of states in states/eV/cell: 6.677

=====

This record from Alexandria describes Re2HW after structural relaxation. The functional is PBE.

abc: 6.0686 6.0686 5.4569
angles: 90.00 90.00 90.00
Closest atoms and distances in Å follow each position.
Space group I-42d (No. 122)
Symmetry-distinct sites (fractional):
Re (0.1523, 0.7500, 0.1250) x8  2 H 1.90
H (0.0000, 0.0000, 0.0000) x4  4 Re 1.90
W (0.0000, 0.0000, 0.5000) x4  8 Re 2.69-2.71, 2 H 2.73

Theoretical density in g cm⁻³: 18.4
Calculated volume in Å³/cell: 201.0
Fermi-level density of states in states/eV/cell: 7.325
Final energy in eV/atom: -9.8149

=====

This record from Alexandria describes SrTcPt2N after structural relaxation. The functional is PBE.

abc: 4.6771 4.6771 6.0559
angles: 90.00 90.00 90.00
Closest atoms and distances in Å follow each position.
Space group P4/mmm (No. 123)
Symmetry-distinct sites (fractional):
Sr (0.0000, 0.0000, 0.0000) x1  2 Tc 3.03, 4 N 3.31
Tc (0.0000, 0.0000, 0.5000) x1  4 Pt 2.34
Pt (0.0000, 0.5000, 0.5000) x2  2 Tc 2.34
N (0.5000, 0.5000, 0.0000) x1  4 Sr 3.31

Theoretical density in g cm⁻³: 7.4
Formation energy without anion corrections in eV per atom: 1.66
Calculated volume in Å³/cell: 132.5
Fermi-level density of states in states/eV/cell: 9.896

=====

This record from Alexandria describes Li2Mg after structural relaxation. The functional is PBE.

abc: 4.2895 4.2895 26.5436
angles: 90.00 90.00 90.00
Closest atoms and distances in Å follow each position.
Space group I4_1/amd (No. 141, origin choice 2)
Symmetry-distinct sites (fractional):
Li (0.0000, 0.2500, 0.1251) x8  8 Li 3.03-3.09, 4 Mg 3.04
Li (0.0000, 0.2500, 0.2913) x8  6 Mg 3.03-3.11, 6 Li 3.07-3.09
Mg (0.0000, 0.2500, 0.7937) x8  10 Li 3.03-3.11, 2 Mg 3.16

ΔE_f in eV per atom: -0.038
Theoretical density in g cm⁻³: 1.0
Calculated volume in Å³/cell: 488.4
Fermi-level density of states in states/eV/cell: 9.547

=====

This record from Alexandria describes Cr3PdPb after structural relaxation. The functional is PBE.

abc: 4.8883 4.8883 4.8883
angles: 90.00 90.00 90.00
Closest atoms and distances in Å follow each position.
Space group Pm-3m (No. 221)
Symmetry-distinct sites (fractional):
Cr (0.0000, 0.0000, 0.5000) x3  2 Pd 2.44
Pd (0.0000, 0.0000, 0.0000) x1  6 Cr 2.44
Pb (0.5000, 0.5000, 0.5000) x1  12 Cr 3.46

ΔE_f in eV per atom: 1.084
Theoretical density in g cm⁻³: 6.7
Calculated volume in Å³/cell: 116.8
Fermi-level density of states in states/eV/cell: 6.691

=====

no.,total magnetization (μB per atom)
1,0.000
2,0.668
3,0.080
4,0.125
5,0.000
6,0.017
7,0.000
8,0.200
9,0.000
10,0.000
11,0.000
12,2.369